PaIn2Te4Pb: relaxed, GGA-PBE.

Lattice parameters (Å, degrees): 7.9235 4.4962 8.3902 90.00 107.47 90.00
Element x y z (fractional)
Pa 0.0000 0.0000 0.0000
In 0.0000 0.5000 0.5000
In 0.5000 0.0000 0.5000
Te 0.2252 0.5000 0.2235
Te 0.2368 0.0000 0.7706
Te 0.7632 0.0000 0.2294
Te 0.7748 0.5000 0.7765
Pb 0.5000 0.5000 0.0000

Calculated values
Density of states at the Fermi level ... 0.6989 states/eV per atom
Symmetry ... P2/m, No. 10
Crystal system ... monoclinic
Spin magnetization ... 1.0 Bohr magnetons per cell

***

PaIn3Te6Pb2: relaxed, GGA-PBE.

Lattice parameters (Å, degrees): 7.9099 7.9099 8.2896 99.09 99.09 119.65
Element x y z (fractional)
Pa 0.0000 0.0000 0.0000
In 0.1692 0.8308 0.5000
In 0.5000 0.5000 0.5000
In 0.8308 0.1692 0.5000
Te 0.0750 0.3842 0.2263
Te 0.2300 0.2300 0.7665
Te 0.3842 0.0750 0.2263
Te 0.6158 0.9250 0.7737
Te 0.7700 0.7700 0.2335
Te 0.9250 0.6158 0.7737
Pb 0.3336 0.6664 0.0000
Pb 0.6664 0.3336 0.0000

Calculated values
Symmetry ... C2/m, No. 12
Crystal system ... monoclinic
Spin magnetization ... 0.0 Bohr magnetons per cell

***

Pa2InPd: relaxed, GGA-PBE.

Lattice parameters (Å, degrees): 3.1992 3.1992 8.9142 90.00 90.00 90.00
Element x y z (fractional)
Pa 0.0000 0.0000 0.2273
Pa 0.0000 0.0000 0.7727
In 0.5000 0.5000 0.5000
Pd 0.5000 0.5000 0.0000

Calculated values
Density of states at the Fermi level ... 1.8355 states/eV per atom
Relative energy among the computed polymorphs ... 0.0 meV per atom
Energy relative to the elements ... -235 meV per atom
Symmetry ... P4/mmm, No. 123
Crystal system ... tetragonal
Spin magnetization ... 0.4 Bohr magnetons per cell

***

PaIn3Pd12: relaxed, GGA-PBE.

Lattice parameters (Å, degrees): 4.0749 4.0749 16.2154 90.00 90.00 90.00
Element x y z (fractional)
Pa 0.0000 0.0000 0.0000
In 0.0000 0.0000 0.2566
In 0.0000 0.0000 0.5000
In 0.0000 0.0000 0.7434
Pd 0.0000 0.5000 0.1242
Pd 0.0000 0.5000 0.3764
Pd 0.0000 0.5000 0.6236
Pd 0.0000 0.5000 0.8758
Pd 0.5000 0.0000 0.1242
Pd 0.5000 0.0000 0.3764
Pd 0.5000 0.0000 0.6236
Pd 0.5000 0.0000 0.8758
Pd 0.5000 0.5000 0.0000
Pd 0.5000 0.5000 0.2503
Pd 0.5000 0.5000 0.5000
Pd 0.5000 0.5000 0.7497

Calculated values
Density of states at the Fermi level ... 0.5615 states/eV per atom
Energy relative to the elements ... -570 meV per atom
Symmetry ... P4/mmm, No. 123
Crystal system ... tetragonal
Spin magnetization ... 0.0 Bohr magnetons per cell

***

PaIn5Pd: relaxed, GGA-PBE.

Lattice parameters (Å, degrees): 4.7148 4.7148 7.4978 90.00 90.00 90.00
Element x y z (fractional)
Pa 0.0000 0.0000 0.0000
In 0.0000 0.5000 0.2963
In 0.0000 0.5000 0.7037
In 0.5000 0.0000 0.2963
In 0.5000 0.0000 0.7037
In 0.5000 0.5000 0.0000
Pd 0.0000 0.0000 0.5000

Calculated values
Density of states at the Fermi level ... 0.7225 states/eV per atom
Energy relative to the elements ... -269 meV per atom
Symmetry ... P4/mmm, No. 123
Crystal system ... tetragonal
Spin magnetization ... 0.0 Bohr magnetons per cell

***

Pa2In5Pd12: relaxed, GGA-PBE.

Lattice parameters (Å, degrees): 7.0631 7.0631 7.5381 102.68 102.68 89.79
Element x y z (fractional)
Pa 0.2486 0.7514 0.0000
Pa 0.7514 0.2486 0.0000
In 0.1678 0.1678 0.5534
In 0.2646 0.2646 0.0771
In 0.5000 0.5000 0.5000
In 0.7354 0.7354 0.9229
In 0.8322 0.8322 0.4466
Pd 0.0099 0.0099 0.1905
Pd 0.0197 0.5792 0.1950
Pd 0.1555 0.6472 0.6068
Pd 0.3528 0.8445 0.3932
Pd 0.4208 0.9803 0.8050
Pd 0.4252 0.4252 0.8139
Pd 0.5748 0.5748 0.1860
Pd 0.5792 0.0197 0.1950
Pd 0.6472 0.1555 0.6068
Pd 0.8445 0.3528 0.3932
Pd 0.9803 0.4208 0.8050
Pd 0.9901 0.9901 0.8095

Calculated values
Density of states at the Fermi level ... 0.3754 states/eV per atom
Energy relative to the elements ... -530 meV per atom
Symmetry ... C2/m, No. 12
Crystal system ... monoclinic
Spin magnetization ... 0.0 Bohr magnetons per cell

***

Pa2InPd8: relaxed, GGA-PBE.

Lattice parameters (Å, degrees): 8.0393 8.0393 5.1819 108.19 108.19 124.09
Element x y z (fractional)
Pa 0.1817 0.8183 0.0000
Pa 0.8183 0.1817 0.0000
In 0.5000 0.5000 0.5000
Pd 0.0260 0.0260 0.2732
Pd 0.1211 0.3981 0.7704
Pd 0.3088 0.6912 0.5000
Pd 0.3981 0.1211 0.7704
Pd 0.6019 0.8789 0.2296
Pd 0.6912 0.3088 0.5000
Pd 0.8789 0.6019 0.2296
Pd 0.9740 0.9740 0.7268

Calculated values
Density of states at the Fermi level ... 0.6446 states/eV per atom
Energy relative to the elements ... -547 meV per atom
Symmetry ... C2/m, No. 12
Crystal system ... monoclinic
Spin magnetization ... 0.0 Bohr magnetons per cell

***

PaIn4Pd15: relaxed, GGA-PBE.

Lattice parameters (Å, degrees): 4.0690 4.0690 20.2465 90.00 90.00 90.00
Element x y z (fractional)
Pa 0.0000 0.0000 0.0000
In 0.0000 0.0000 0.2061
In 0.0000 0.0000 0.4014
In 0.0000 0.0000 0.5986
In 0.0000 0.0000 0.7939
Pd 0.0000 0.5000 0.0997
Pd 0.0000 0.5000 0.3021
Pd 0.0000 0.5000 0.5000
Pd 0.0000 0.5000 0.6979
Pd 0.0000 0.5000 0.9003
Pd 0.5000 0.0000 0.0997
Pd 0.5000 0.0000 0.3021
Pd 0.5000 0.0000 0.5000
Pd 0.5000 0.0000 0.6979
Pd 0.5000 0.0000 0.9003
Pd 0.5000 0.5000 0.0000
Pd 0.5000 0.5000 0.2008
Pd 0.5000 0.5000 0.4012
Pd 0.5000 0.5000 0.5988
Pd 0.5000 0.5000 0.7992

Calculated values
Density of states at the Fermi level ... 0.6529 states/eV per atom
Energy relative to the elements ... -541 meV per atom
Symmetry ... P4/mmm, No. 123
Crystal system ... tetragonal
Spin magnetization ... 0.0 Bohr magnetons per cell

***

Pa2InPd: relaxed, GGA-PBE.

Lattice parameters (Å, degrees): 3.1436 3.1436 32.9574 90.00 90.00 120.00
Element x y z (fractional)
Pa 0.0000 0.0000 0.0813
Pa 0.0000 0.0000 0.9187
Pa 0.3333 0.6667 0.5854
Pa 0.3333 0.6667 0.7479
Pa 0.6667 0.3333 0.2521
Pa 0.6667 0.3333 0.4146
In 0.0000 0.0000 0.5000
In 0.3333 0.6667 0.1667
In 0.6667 0.3333 0.8333
Pd 0.0000 0.0000 0.0000
Pd 0.3333 0.6667 0.6667
Pd 0.6667 0.3333 0.3333

Calculated values
Density of states at the Fermi level ... 1.6066 states/eV per atom
Relative energy among the computed polymorphs ... 280.3 meV per atom
Energy relative to the elements ... 46 meV per atom
Symmetry ... R-3m, No. 166
Crystal system ... trigonal
Spin magnetization ... 0.0 Bohr magnetons per cell

***

PaIn3Pd4: relaxed, GGA-PBE.

Lattice parameters (Å, degrees): 8.3359 8.3359 8.3359 33.17 33.17 33.17
Element x y z (fractional)
Pa 0.0000 0.0000 0.0000
In 0.2498 0.2498 0.2498
In 0.5000 0.5000 0.5000
In 0.7502 0.7502 0.7502
Pd 0.1236 0.1236 0.1236
Pd 0.3825 0.3825 0.3825
Pd 0.6175 0.6175 0.6175
Pd 0.8764 0.8764 0.8764

Calculated values
Density of states at the Fermi level ... 0.7194 states/eV per atom
Energy relative to the elements ... -483 meV per atom
Symmetry ... R-3m, No. 166
Crystal system ... trigonal
Spin magnetization ... 0.0 Bohr magnetons per cell

***

PaInPd5: relaxed, GGA-PBE.

Lattice parameters (Å, degrees): 7.2394 7.4949 6.8049 90.00 90.00 90.00
Element x y z (fractional)
Pa 0.0000 0.0000 0.0000
Pa 0.5000 0.5000 0.5000
In 0.0000 0.5000 0.9592
In 0.5000 0.0000 0.4592
Pd 0.0000 0.0000 0.6285
Pd 0.0000 0.1930 0.3012
Pd 0.0000 0.8070 0.3012
Pd 0.1854 0.5000 0.3394
Pd 0.3146 0.0000 0.8394
Pd 0.5000 0.3070 0.8012
Pd 0.5000 0.5000 0.1285
Pd 0.5000 0.6930 0.8012
Pd 0.6854 0.0000 0.8394
Pd 0.8146 0.5000 0.3394

Calculated values
Density of states at the Fermi level ... 0.4074 states/eV per atom
Energy relative to the elements ... 155 meV per atom
Symmetry ... Imm2, No. 44
Crystal system ... orthorhombic
Spin magnetization ... 0.0 Bohr magnetons per cell

***

Pa2InPd2: relaxed, GGA-PBE.

Lattice parameters (Å, degrees): 7.8038 7.8038 3.6748 90.00 90.00 90.00
Element x y z (fractional)
Pa 0.1747 0.3253 0.0000
Pa 0.3253 0.8253 0.0000
Pa 0.6747 0.1747 0.0000
Pa 0.8253 0.6747 0.0000
In 0.0000 0.0000 0.5000
In 0.5000 0.5000 0.5000
Pd 0.1283 0.6283 0.5000
Pd 0.3717 0.1283 0.5000
Pd 0.6283 0.8717 0.5000
Pd 0.8717 0.3717 0.5000

Calculated values
Density of states at the Fermi level ... 0.6358 states/eV per atom
Energy relative to the elements ... -510 meV per atom
Symmetry ... P4/mbm, No. 127
Crystal system ... tetragonal
Spin magnetization ... 0.0 Bohr magnetons per cell

***

Number 1: VASP energy -35.0 eV per cell. Number 2: VASP energy -49.6 eV per cell. Number 3: VASP energy -27.9 eV per cell. Number 4: VASP energy -89.1 eV per cell. Number 5: VASP energy -30.3 eV per cell. Number 6: VASP energy -105.1 eV per cell. Number 7: VASP energy -69.3 eV per cell. Number 8: VASP energy -109.2 eV per cell. Number 9: VASP energy -80.2 eV per cell. Number 10: VASP energy -42.3 eV per cell. Number 11: VASP energy -74.2 eV per cell. Number 12: VASP energy -69.3 eV per cell.